[1]
Np: relaxed, PBE-GGA.

abc: 4.6117 4.6117 3.4622
angles: 90.00 90.00 90.00
Closest atoms and distances in Å follow each position.
Space group P4/nmm (No. 129, origin choice 2)
One atom of each set of equivalent atoms:
1 Np 0.2500 0.2500 0.1801  4 Np 2.56
2 Np 0.2500 0.7500 0.5000  4 Np 2.56

## Properties
**Volume**: 74 Å³ per cell
**Offset from the most stable computed form**: 80 meV per atom

[2]
LiYRh2: relaxed, PBE-GGA.

abc: 3.9663 3.9663 8.5928
angles: 90.00 90.00 90.00
Closest atoms and distances in Å follow each position.
Space group I-4m2 (No. 119)
One atom of each set of equivalent atoms:
1 Li 0.0000 0.0000 0.0000  8 Rh 2.80-2.92, 4 Y 2.92
2 Y 0.0000 0.5000 0.2500  8 Rh 2.80-2.92, 4 Li 2.92
3 Rh 0.0000 0.0000 0.5000  4 Li 2.80, 4 Rh 2.92, 4 Y 2.92
4 Rh 0.0000 0.5000 0.7500  4 Y 2.80, 4 Li 2.92, 4 Rh 2.92

## Properties
**Volume**: 135 Å³ per cell

| no. | final energy (eV per atom) | energy relative to the elements (meV per atom) |
| --- | --- | --- |
| 1 | -12.86 | 80 |
| 2 | -6.13 | -360 |